No. 1
PmMn10Fe2: optimized geometry, PBE-GGA.

Cell lengths 8.407, 9.648, 8.048 Å; angles 90.00, 90.00, 90.00 degrees
Space group Cmcm (No. 63)
Asymmetric unit:
Pm (0.000, 0.119, 0.250) x4
Mn (0.000, 0.172, 0.608) x8
Mn (0.000, 0.396, 0.070) x8
Mn (0.133, 0.384, 0.750) x8
Mn (0.229, 0.000, 0.000) x8
Mn (0.240, 0.368, 0.250) x8
Fe (0.250, 0.250, 0.000) x8

Summary:
Energy of formation: 57.4 meV/atom

---

No. 2
PmMnFe: optimized geometry, PBE-GGA.

Cell lengths 5.149, 5.344, 7.358 Å; angles 90.00, 90.00, 90.00 degrees
Space group Imma (No. 74)
Asymmetric unit:
Pm (0.000, 0.250, 0.122) x4
Mn (0.000, 0.000, 0.500) x4
Fe (0.250, 0.250, 0.750) x4

Summary:
Energy of formation: 140.3 meV/atom

---

No. 3
PmMnFeSi3: optimized geometry, PBE-GGA.

Cell lengths 5.828, 11.092, 6.188 Å; angles 90.00, 90.00, 90.00 degrees
Space group Cmcm (No. 63)
Asymmetric unit:
Pm (0.000, 0.240, 0.250) x4
Mn (0.000, 0.483, 0.750) x4
Fe (0.000, 0.102, 0.750) x4
Si (0.000, 0.293, 0.750) x4
Si (0.208, 0.000, 0.000) x8

Summary:
E: -162.53 eV per cell

---

Number 1: DOS(E_F) 14.8 states/eV/f.u.. Number 2: DOS(E_F) 3.5 states/eV/f.u.. Number 3: DOS(E_F) 2.0 states/eV/f.u..